The following is a PBE-GGA calculation of an optimized crystal structure of Sm2Zn2Co15, from the Alexandria database.

Unit cell a=6.330 b=6.330 c=6.330 alpha=83.44 beta=83.44 gamma=83.44
Fractional coordinates of all 19 atoms:
Sm (0.152, 0.152, 0.152)
Sm (0.848, 0.848, 0.848)
Zn (0.398, 0.398, 0.398)
Zn (0.602, 0.602, 0.602)
Co (0.000, 0.500, 0.500)
Co (0.151, 0.151, 0.652)
Co (0.151, 0.652, 0.151)
Co (0.212, 0.500, 0.788)
Co (0.212, 0.788, 0.500)
Co (0.348, 0.849, 0.849)
Co (0.500, 0.000, 0.500)
Co (0.500, 0.212, 0.788)
Co (0.500, 0.500, 0.000)
Co (0.500, 0.788, 0.212)
Co (0.652, 0.151, 0.151)
Co (0.788, 0.212, 0.500)
Co (0.788, 0.500, 0.212)
Co (0.849, 0.348, 0.849)
Co (0.849, 0.849, 0.348)

Properties
- V (Å³/f.u.) = 249.0
- ΔH_f (0 K) (eV/atom) = -0.07
- DFT total energy (eV for the cell shown) = -119.879
- SG = R-3m

***

The following is a PBE-GGA calculation of an optimized crystal structure of SmZn8Co4, from the Alexandria database.

Unit cell a=6.634 b=6.634 c=6.634 alpha=98.08 beta=98.08 gamma=135.95
Fractional coordinates of all 13 atoms:
Sm (0.000, 0.000, 0.000)
Zn (0.000, 0.341, 0.341)
Zn (0.000, 0.659, 0.659)
Zn (0.273, 0.500, 0.773)
Zn (0.341, 0.000, 0.341)
Zn (0.500, 0.273, 0.773)
Zn (0.500, 0.727, 0.227)
Zn (0.659, 0.000, 0.659)
Zn (0.727, 0.500, 0.227)
Co (0.000, 0.000, 0.500)
Co (0.000, 0.500, 0.000)
Co (0.500, 0.000, 0.000)
Co (0.500, 0.500, 0.500)

Properties
- V (Å³/f.u.) = 188.2
- ΔH_f (0 K) (eV/atom) = -0.16
- DFT total energy (eV for the cell shown) = -45.367
- SG = I4/mmm

***

The following is a PBE-GGA calculation of an optimized crystal structure of Sm4ZnCo2, from the Alexandria database.

Unit cell a=9.366 b=9.366 c=9.366 alpha=29.03 beta=29.03 gamma=29.03
Fractional coordinates of all 7 atoms:
Sm (0.115, 0.115, 0.115)
Sm (0.295, 0.295, 0.295)
Sm (0.705, 0.705, 0.705)
Sm (0.885, 0.885, 0.885)
Zn (0.500, 0.500, 0.500)
Co (0.408, 0.408, 0.408)
Co (0.592, 0.592, 0.592)

Properties
- V (Å³/f.u.) = 171.1
- ΔH_f (0 K) (eV/atom) = -0.07
- DFT total energy (eV for the cell shown) = -34.851
- SG = R-3m

***

The following is a PBE-GGA calculation of an optimized crystal structure of SmZnCo, from the Alexandria database.

Unit cell a=4.209 b=4.209 c=3.789 alpha=90.00 beta=90.00 gamma=120.00
Fractional coordinates of all 3 atoms:
Sm (0.000, 0.000, 0.000)
Zn (0.333, 0.667, 0.500)
Co (0.667, 0.333, 0.500)

Properties
- V (Å³/f.u.) = 58.1
- ΔH_f (0 K) (eV/atom) = -0.15
- DFT total energy (eV for the cell shown) = -13.559
- SG = P-6m2

***

The following is a PBE-GGA calculation of an optimized crystal structure of Sm6ZnCo, from the Alexandria database.

Unit cell a=5.050 b=5.050 c=17.567 alpha=90.00 beta=90.00 gamma=90.00
Fractional coordinates of all 16 atoms:
Sm (0.000, 0.000, 0.248)
Sm (0.000, 0.000, 0.752)
Sm (0.000, 0.500, 0.097)
Sm (0.000, 0.500, 0.403)
Sm (0.000, 0.500, 0.597)
Sm (0.000, 0.500, 0.903)
Sm (0.500, 0.000, 0.097)
Sm (0.500, 0.000, 0.403)
Sm (0.500, 0.000, 0.597)
Sm (0.500, 0.000, 0.903)
Sm (0.500, 0.500, 0.252)
Sm (0.500, 0.500, 0.748)
Zn (0.000, 0.000, 0.000)
Zn (0.500, 0.500, 0.500)
Co (0.000, 0.000, 0.500)
Co (0.500, 0.500, 0.000)

Properties
- V (Å³/f.u.) = 224.0
- ΔH_f (0 K) (eV/atom) = -0.04
- DFT total energy (eV for the cell shown) = -74.098
- SG = I4/mmm

***

The following is a PBE-GGA calculation of an optimized crystal structure of SmZnCo, from the Alexandria database.

Unit cell a=11.936 b=3.975 c=5.043 alpha=90.00 beta=104.92 gamma=90.00
Fractional coordinates of all 12 atoms:
Sm (0.122, 0.000, 0.310)
Sm (0.378, 0.500, 0.690)
Sm (0.622, 0.500, 0.310)
Sm (0.878, 0.000, 0.690)
Zn (0.088, 0.500, 0.769)
Zn (0.412, 0.000, 0.231)
Zn (0.588, 0.000, 0.769)
Zn (0.912, 0.500, 0.231)
Co (0.222, 0.000, 0.881)
Co (0.278, 0.500, 0.119)
Co (0.722, 0.500, 0.881)
Co (0.778, 0.000, 0.119)

Properties
- V (Å³/f.u.) = 57.8
- ΔH_f (0 K) (eV/atom) = -0.22
- DFT total energy (eV for the cell shown) = -55.093
- SG = C2/m

***

The following is a PBE-GGA calculation of an optimized crystal structure of Sm12ZnCo5, from the Alexandria database.

Unit cell a=8.431 b=8.431 c=8.431 alpha=110.75 beta=109.50 gamma=108.17
Fractional coordinates of all 18 atoms:
Sm (0.013, 0.205, 0.809)
Sm (0.184, 0.296, 0.480)
Sm (0.184, 0.704, 0.889)
Sm (0.318, 0.014, 0.697)
Sm (0.318, 0.621, 0.303)
Sm (0.396, 0.205, 0.191)
Sm (0.604, 0.795, 0.809)
Sm (0.682, 0.379, 0.697)
Sm (0.682, 0.986, 0.303)
Sm (0.816, 0.296, 0.111)
Sm (0.816, 0.704, 0.520)
Sm (0.987, 0.795, 0.191)
Zn (0.500, 0.500, 0.000)
Co (0.000, 0.000, 0.000)
Co (0.114, 0.614, 0.500)
Co (0.378, 0.000, 0.378)
Co (0.622, 0.000, 0.622)
Co (0.886, 0.386, 0.500)

Properties
- V (Å³/f.u.) = 461.1
- ΔH_f (0 K) (eV/atom) = -0.12
- DFT total energy (eV for the cell shown) = -95.602
- SG = Immm

***

The following is a PBE-GGA calculation of an optimized crystal structure of Sm12Zn6Co, from the Alexandria database.

Unit cell a=8.126 b=8.126 c=8.126 alpha=93.84 beta=93.84 gamma=93.84
Fractional coordinates of all 19 atoms:
Sm (0.044, 0.926, 0.697)
Sm (0.074, 0.303, 0.956)
Sm (0.185, 0.415, 0.533)
Sm (0.303, 0.956, 0.074)
Sm (0.415, 0.533, 0.185)
Sm (0.467, 0.815, 0.585)
Sm (0.533, 0.185, 0.415)
Sm (0.585, 0.467, 0.815)
Sm (0.697, 0.044, 0.926)
Sm (0.815, 0.585, 0.467)
Sm (0.926, 0.697, 0.044)
Sm (0.956, 0.074, 0.303)
Zn (0.152, 0.759, 0.354)
Zn (0.241, 0.646, 0.848)
Zn (0.354, 0.152, 0.759)
Zn (0.646, 0.848, 0.241)
Zn (0.759, 0.354, 0.152)
Zn (0.848, 0.241, 0.646)
Co (0.500, 0.500, 0.500)

Properties
- V (Å³/f.u.) = 532.8
- ΔH_f (0 K) (eV/atom) = -0.10
- DFT total energy (eV for the cell shown) = -73.194
- SG = R-3

***

The following is a PBE-GGA calculation of an optimized crystal structure of Sm2Zn3Co, from the Alexandria database.

Unit cell a=10.056 b=4.297 c=7.027 alpha=90.00 beta=128.76 gamma=90.00
Fractional coordinates of all 12 atoms:
Sm (0.000, 0.000, 0.000)
Sm (0.113, 0.000, 0.614)
Sm (0.500, 0.500, 0.000)
Sm (0.613, 0.500, 0.614)
Zn (0.212, 0.500, 0.019)
Zn (0.239, 0.500, 0.428)
Zn (0.385, 0.000, 0.232)
Zn (0.712, 0.000, 0.019)
Zn (0.739, 0.000, 0.428)
Zn (0.885, 0.500, 0.232)
Co (0.409, 0.000, 0.637)
Co (0.909, 0.500, 0.637)

Properties
- V (Å³/f.u.) = 118.4
- ΔH_f (0 K) (eV/atom) = -0.27
- DFT total energy (eV for the cell shown) = -43.983
- SG = Cm

***

The following is a PBE-GGA calculation of an optimized crystal structure of Sm8ZnCo2, from the Alexandria database.

Unit cell a=7.929 b=7.929 c=5.581 alpha=98.17 beta=98.17 gamma=115.57
Fractional coordinates of all 11 atoms:
Sm (0.000, 0.000, 0.000)
Sm (0.051, 0.307, 0.623)
Sm (0.146, 0.627, 0.191)
Sm (0.307, 0.051, 0.623)
Sm (0.466, 0.722, 0.758)
Sm (0.627, 0.146, 0.191)
Sm (0.722, 0.466, 0.758)
Sm (0.773, 0.773, 0.382)
Zn (0.387, 0.387, 0.188)
Co (0.094, 0.679, 0.691)
Co (0.679, 0.094, 0.691)

Properties
- V (Å³/f.u.) = 305.1
- ΔH_f (0 K) (eV/atom) = 0.00
- DFT total energy (eV for the cell shown) = -53.230
- SG = Cm
- relative energy among the computed polymorphs (meV per atom) = 79

***

The following is a PBE-GGA calculation of an optimized crystal structure of SmZn9Co2, from the Alexandria database.

Unit cell a=8.134 b=8.134 c=3.395 alpha=90.00 beta=90.00 gamma=120.00
Fractional coordinates of all 12 atoms:
Sm (0.000, 0.000, 0.000)
Zn (0.000, 0.500, 0.000)
Zn (0.197, 0.394, 0.500)
Zn (0.197, 0.803, 0.500)
Zn (0.394, 0.197, 0.500)
Zn (0.500, 0.000, 0.000)
Zn (0.500, 0.500, 0.000)
Zn (0.606, 0.803, 0.500)
Zn (0.803, 0.197, 0.500)
Zn (0.803, 0.606, 0.500)
Co (0.333, 0.667, 0.000)
Co (0.667, 0.333, 0.000)

Properties
- V (Å³/f.u.) = 194.5
- ΔH_f (0 K) (eV/atom) = -0.07
- DFT total energy (eV for the cell shown) = -31.281
- SG = P6/mmm
- relative energy among the computed polymorphs (meV per atom) = 102

***

The following is a PBE-GGA calculation of an optimized crystal structure of Sm3ZnCo2, from the Alexandria database.

Unit cell a=4.914 b=8.723 c=6.508 alpha=90.00 beta=97.25 gamma=90.00
Fractional coordinates of all 12 atoms:
Sm (0.065, 0.250, 0.249)
Sm (0.417, 0.039, 0.742)
Sm (0.417, 0.461, 0.742)
Sm (0.583, 0.539, 0.258)
Sm (0.583, 0.961, 0.258)
Sm (0.935, 0.750, 0.751)
Zn (0.081, 0.750, 0.211)
Zn (0.919, 0.250, 0.789)
Co (0.000, 0.000, 0.000)
Co (0.000, 0.500, 0.000)
Co (0.408, 0.750, 0.527)
Co (0.592, 0.250, 0.473)

Properties
- V (Å³/f.u.) = 138.4
- ΔH_f (0 K) (eV/atom) = -0.06
- DFT total energy (eV for the cell shown) = -59.970
- SG = P2_1/m

***

The following is a PBE-GGA calculation of an optimized crystal structure of Sm3ZnCo8, from the Alexandria database.

Unit cell a=8.764 b=8.764 c=8.764 alpha=33.37 beta=33.37 gamma=33.37
Fractional coordinates of all 12 atoms:
Sm (0.000, 0.000, 0.000)
Sm (0.128, 0.128, 0.128)
Sm (0.618, 0.618, 0.618)
Zn (0.496, 0.496, 0.496)
Co (0.061, 0.061, 0.556)
Co (0.061, 0.556, 0.061)
Co (0.069, 0.562, 0.562)
Co (0.312, 0.312, 0.312)
Co (0.556, 0.061, 0.061)
Co (0.562, 0.069, 0.562)
Co (0.562, 0.562, 0.069)
Co (0.813, 0.813, 0.813)

Properties
- V (Å³/f.u.) = 181.4
- ΔH_f (0 K) (eV/atom) = -0.08
- DFT total energy (eV for the cell shown) = -73.246
- SG = R3m

***

The following is a PBE-GGA calculation of an optimized crystal structure of SmZnCo, from the Alexandria database.

Unit cell a=12.046 b=3.979 c=7.017 alpha=90.00 beta=90.00 gamma=90.00
Fractional coordinates of all 18 atoms:
Sm (0.044, 0.000, 0.248)
Sm (0.250, 0.000, 0.630)
Sm (0.456, 0.000, 0.248)
Sm (0.544, 0.000, 0.752)
Sm (0.750, 0.000, 0.370)
Sm (0.956, 0.000, 0.752)
Zn (0.138, 0.500, 0.920)
Zn (0.250, 0.500, 0.283)
Zn (0.362, 0.500, 0.920)
Zn (0.638, 0.500, 0.080)
Zn (0.750, 0.500, 0.717)
Zn (0.862, 0.500, 0.080)
Co (0.089, 0.500, 0.545)
Co (0.250, 0.000, 0.050)
Co (0.411, 0.500, 0.545)
Co (0.589, 0.500, 0.455)
Co (0.750, 0.000, 0.950)
Co (0.911, 0.500, 0.455)

Properties
- V (Å³/f.u.) = 56.1
- ΔH_f (0 K) (eV/atom) = -0.22
- DFT total energy (eV for the cell shown) = -82.640
- SG = Pmma

***

The following is a PBE-GGA calculation of an optimized crystal structure of SmZn9Co2, from the Alexandria database.

Unit cell a=8.073 b=8.073 c=8.073 alpha=100.17 beta=100.17 gamma=130.30
Fractional coordinates of all 24 atoms:
Sm (0.375, 0.625, 0.750)
Sm (0.625, 0.375, 0.250)
Zn (0.125, 0.875, 0.250)
Zn (0.142, 0.567, 0.332)
Zn (0.142, 0.810, 0.576)
Zn (0.190, 0.266, 0.332)
Zn (0.190, 0.858, 0.924)
Zn (0.266, 0.190, 0.832)
Zn (0.266, 0.433, 0.076)
Zn (0.433, 0.266, 0.576)
Zn (0.433, 0.858, 0.168)
Zn (0.567, 0.142, 0.832)
Zn (0.567, 0.734, 0.424)
Zn (0.734, 0.567, 0.924)
Zn (0.734, 0.810, 0.168)
Zn (0.810, 0.142, 0.076)
Zn (0.810, 0.734, 0.668)
Zn (0.858, 0.190, 0.424)
Zn (0.858, 0.433, 0.668)
Zn (0.875, 0.125, 0.750)
Co (0.000, 0.000, 0.000)
Co (0.000, 0.000, 0.500)
Co (0.000, 0.500, 0.000)
Co (0.500, 0.000, 0.500)

Properties
- V (Å³/f.u.) = 182.1
- ΔH_f (0 K) (eV/atom) = -0.18
- DFT total energy (eV for the cell shown) = -65.013
- SG = I4_1/amd
- relative energy among the computed polymorphs (meV per atom) = 0

***

The following is a PBE-GGA calculation of an optimized crystal structure of Sm8ZnCo2, from the Alexandria database.

Unit cell a=9.415 b=9.415 c=6.727 alpha=109.69 beta=109.69 gamma=31.84
Fractional coordinates of all 11 atoms:
Sm (0.034, 0.034, 0.286)
Sm (0.196, 0.196, 0.848)
Sm (0.318, 0.318, 0.488)
Sm (0.404, 0.404, 0.013)
Sm (0.596, 0.596, 0.987)
Sm (0.682, 0.682, 0.512)
Sm (0.804, 0.804, 0.152)
Sm (0.966, 0.966, 0.714)
Zn (0.500, 0.500, 0.500)
Co (0.166, 0.166, 0.223)
Co (0.834, 0.834, 0.777)

Properties
- V (Å³/f.u.) = 294.7
- ΔH_f (0 K) (eV/atom) = -0.08
- DFT total energy (eV for the cell shown) = -54.095
- SG = C2/m
- relative energy among the computed polymorphs (meV per atom) = 0

***

The following is a PBE-GGA calculation of an optimized crystal structure of Sm2Zn2Co, from the Alexandria database.

Unit cell a=3.787 b=5.883 c=10.505 alpha=85.44 beta=79.67 gamma=71.24
Fractional coordinates of all 10 atoms:
Sm (0.075, 0.210, 0.141)
Sm (0.210, 0.700, 0.380)
Sm (0.790, 0.300, 0.620)
Sm (0.925, 0.790, 0.859)
Zn (0.377, 0.660, 0.088)
Zn (0.491, 0.134, 0.384)
Zn (0.509, 0.866, 0.616)
Zn (0.623, 0.340, 0.912)
Co (0.274, 0.147, 0.804)
Co (0.726, 0.853, 0.196)

Properties
- V (Å³/f.u.) = 109.0
- ΔH_f (0 K) (eV/atom) = -0.26
- DFT total energy (eV for the cell shown) = -40.736
- SG = P-1

***

The following is a PBE-GGA calculation of an optimized crystal structure of SmZnCo, from the Alexandria database.

Unit cell a=3.355 b=3.355 c=9.887 alpha=90.00 beta=90.00 gamma=90.00
Fractional coordinates of all 6 atoms:
Sm (0.000, 0.000, 0.000)
Sm (0.500, 0.500, 0.500)
Zn (0.000, 0.000, 0.709)
Zn (0.500, 0.500, 0.209)
Co (0.000, 0.000, 0.314)
Co (0.500, 0.500, 0.814)

Properties
- V (Å³/f.u.) = 55.6
- ΔH_f (0 K) (eV/atom) = -0.05
- DFT total energy (eV for the cell shown) = -26.499
- SG = I4mm

***

The following is a PBE-GGA calculation of an optimized crystal structure of Sm3Zn4Co2, from the Alexandria database.

Unit cell a=5.879 b=5.879 c=8.436 alpha=110.80 beta=110.80 gamma=41.57
Fractional coordinates of all 9 atoms:
Sm (0.000, 0.000, 0.000)
Sm (0.316, 0.316, 0.354)
Sm (0.684, 0.684, 0.646)
Zn (0.036, 0.036, 0.369)
Zn (0.283, 0.283, 0.941)
Zn (0.717, 0.717, 0.059)
Zn (0.964, 0.964, 0.631)
Co (0.394, 0.394, 0.734)
Co (0.606, 0.606, 0.266)

Properties
- V (Å³/f.u.) = 179.0
- ΔH_f (0 K) (eV/atom) = -0.24
- DFT total energy (eV for the cell shown) = -35.643
- SG = C2/m

***

The following is a PBE-GGA calculation of an optimized crystal structure of Sm2Zn12Co5, from the Alexandria database.

Unit cell a=6.633 b=6.633 c=6.633 alpha=83.38 beta=83.38 gamma=83.38
Fractional coordinates of all 19 atoms:
Sm (0.168, 0.168, 0.168)
Sm (0.832, 0.832, 0.832)
Zn (0.156, 0.156, 0.641)
Zn (0.156, 0.641, 0.156)
Zn (0.213, 0.500, 0.787)
Zn (0.213, 0.787, 0.500)
Zn (0.359, 0.844, 0.844)
Zn (0.500, 0.213, 0.787)
Zn (0.500, 0.787, 0.213)
Zn (0.641, 0.156, 0.156)
Zn (0.787, 0.213, 0.500)
Zn (0.787, 0.500, 0.213)
Zn (0.844, 0.359, 0.844)
Zn (0.844, 0.844, 0.359)
Co (0.000, 0.500, 0.500)
Co (0.404, 0.404, 0.404)
Co (0.500, 0.000, 0.500)
Co (0.500, 0.500, 0.000)
Co (0.596, 0.596, 0.596)

Properties
- V (Å³/f.u.) = 286.4
- ΔH_f (0 K) (eV/atom) = -0.18
- DFT total energy (eV for the cell shown) = -63.717
- SG = R-3m